An optimized crystal structure of Ca2InIr, computed with PBEsol.

Geometry as CIF:
```
data_Ca2InIr
_space_group_name_H-M_alt 'I -4 m 2'
_space_group_IT_number 119
_space_group_name_Hall 'I -4 -2'
_cell_length_a 4.6804
_cell_length_b 4.6804
_cell_length_c 7.7046
_cell_angle_alpha 90.00
_cell_angle_beta 90.00
_cell_angle_gamma 90.00
loop_
_atom_site_label
_atom_site_type_symbol
_atom_site_fract_x
_atom_site_fract_y
_atom_site_fract_z
_atom_site_occupancy
Ca1 Ca 0.0000 0.0000 0.0000 1
Ca2 Ca 0.0000 0.5000 0.2500 1
In1 In 0.0000 0.5000 0.7500 1
Ir1 Ir 0.0000 0.0000 0.5000 1
```

## Properties
The density of states at the Fermi level is 8.42 states/eV/cell. The calculation puts the spin magnetization at 0.00 μB/cell. The formation energy comes out at -0.199 eV/atom. For the electronic total energy, the calculation gives -17.9 eV/f.u.



An optimized crystal structure of Tl2CdCu, computed with PBEsol.

Geometry as CIF:
```
data_Tl2CdCu
_space_group_name_H-M_alt 'P 4/m m m'
_space_group_IT_number 123
_space_group_name_Hall '-P 4 2'
_cell_length_a 4.6423
_cell_length_b 4.6423
_cell_length_c 4.0641
_cell_angle_alpha 90.00
_cell_angle_beta 90.00
_cell_angle_gamma 90.00
loop_
_atom_site_label
_atom_site_type_symbol
_atom_site_fract_x
_atom_site_fract_y
_atom_site_fract_z
_atom_site_occupancy
Tl1 Tl 0.0000 0.5000 0.0000 1
Cd1 Cd 0.0000 0.0000 0.5000 1
Cu1 Cu 0.5000 0.5000 0.5000 1
```

## Properties
The density of states at the Fermi level is 1.48 states/eV/cell. The calculation puts the spin magnetization at 0.00 μB/cell. The energy above the most stable polymorph in this dataset is 104 meV/atom. The formation energy comes out at 0.281 eV/atom. For the electronic total energy, the calculation gives -9.7 eV/f.u.



An optimized crystal structure of In2TcSe, computed with PBEsol.

Geometry as CIF:
```
data_In2TcSe
_space_group_name_H-M_alt 'C m m m'
_space_group_IT_number 65
_space_group_name_Hall '-C 2 2'
_cell_length_a 6.0351
_cell_length_b 7.8170
_cell_length_c 3.1653
_cell_angle_alpha 90.00
_cell_angle_beta 90.00
_cell_angle_gamma 90.00
loop_
_atom_site_label
_atom_site_type_symbol
_atom_site_fract_x
_atom_site_fract_y
_atom_site_fract_z
_atom_site_occupancy
In1 In 0.2500 0.2500 0.0000 1
Tc1 Tc 0.0000 0.0000 0.5000 1
Se1 Se 0.0000 0.5000 0.5000 1
```

## Properties
The density of states at the Fermi level is 5.91 states/eV/cell. The calculation puts the spin magnetization at 0.06 μB/cell. For the electronic total energy, the calculation gives -19.9 eV/f.u.



An optimized crystal structure of InPb5, computed with PBEsol.

Geometry as CIF:
```
data_InPb5
_space_group_name_H-M_alt 'A m m 2'
_space_group_IT_number 38
_cell_length_a 5.6565
_cell_length_b 3.4408
_cell_length_c 17.8777
_cell_angle_alpha 90.00
_cell_angle_beta 90.00
_cell_angle_gamma 90.00
loop_
_space_group_symop_operation_xyz
'x,y,z'
'-x,-y,z'
'-x,y,z'
'x,-y,z'
'x,y+1/2,z+1/2'
'-x,-y+1/2,z+1/2'
'-x,y+1/2,z+1/2'
'x,-y+1/2,z+1/2'
loop_
_atom_site_label
_atom_site_type_symbol
_atom_site_fract_x
_atom_site_fract_y
_atom_site_fract_z
_atom_site_occupancy
In1 In 0.0000 0.0000 0.0000 1
Pb1 Pb 0.0000 0.0000 0.3363 1
Pb2 Pb 0.0000 0.0000 0.6658 1
Pb3 Pb 0.5000 0.0000 0.1081 1
Pb4 Pb 0.5000 0.0000 0.4434 1
Pb5 Pb 0.5000 0.0000 0.7764 1
```

## Properties
The density of states at the Fermi level is 6.64 states/eV/cell. The calculation puts the spin magnetization at 0.00 μB/cell. The energy above the most stable polymorph in this dataset is 16 meV/atom. The formation energy comes out at 0.022 eV/atom. For the electronic total energy, the calculation gives -22.8 eV/f.u.



An optimized crystal structure of KZnAg2, computed with PBEsol.

Geometry as CIF:
```
data_KZnAg2
_space_group_name_H-M_alt 'P m m 2'
_space_group_IT_number 25
_cell_length_a 2.8853
_cell_length_b 4.0975
_cell_length_c 7.3013
_cell_angle_alpha 90.00
_cell_angle_beta 90.00
_cell_angle_gamma 90.00
loop_
_space_group_symop_operation_xyz
'x,y,z'
'-x,-y,z'
'-x,y,z'
'x,-y,z'
loop_
_atom_site_label
_atom_site_type_symbol
_atom_site_fract_x
_atom_site_fract_y
_atom_site_fract_z
_atom_site_occupancy
K1 K 0.0000 0.0000 0.0000 1
Zn1 Zn 0.5000 0.5000 0.3271 1
Ag1 Ag 0.0000 0.0000 0.4862 1
Ag2 Ag 0.5000 0.5000 0.6844 1
```

## Properties
The density of states at the Fermi level is 1.39 states/eV/cell. The calculation puts the spin magnetization at 0.00 μB/cell. The formation energy comes out at 0.147 eV/atom. For the electronic total energy, the calculation gives -8.8 eV/f.u.



An optimized crystal structure of Cd4PtW, computed with PBEsol.

Geometry as CIF:
```
data_Cd4PtW
_space_group_name_H-M_alt 'F -4 3 m'
_space_group_IT_number 216
_space_group_name_Hall 'F -4 2 3'
_cell_length_a 7.5814
_cell_length_b 7.5814
_cell_length_c 7.5814
_cell_angle_alpha 90.00
_cell_angle_beta 90.00
_cell_angle_gamma 90.00
loop_
_atom_site_label
_atom_site_type_symbol
_atom_site_fract_x
_atom_site_fract_y
_atom_site_fract_z
_atom_site_occupancy
Cd1 Cd 0.1246 0.1246 0.1246 1
Pt1 Pt 0.0000 0.0000 0.5000 1
W1 W 0.2500 0.2500 0.7500 1
```

## Properties
The density of states at the Fermi level is 27.34 states/eV/cell. The calculation puts the spin magnetization at 0.00 μB/cell. The formation energy comes out at 0.751 eV/atom. For the electronic total energy, the calculation gives -21.1 eV/f.u.



Q: Which of these has the lowest electronic total energy?
A: InPb5